[1]
SrTaS2Cl | PBE-GGA | optimized geometry

```
5
Lattice="-3.124 -3.631 0.710 2.037 -0.912 4.298 -3.134 3.115 2.146" Properties=species:S:1:pos:R:3 pbc="T T T"
Sr -2.110 -0.714 3.577
S 1.018 -0.456 2.149
S -1.562 -1.816 0.355
Cl -1.567 1.558 1.073
Ta 0.000 0.000 0.000
```

Properties
As for the energy relative to the elements, uncorrected: -1192.6 meV/atom. As for the calculated total energy: -29.60 eV per cell.

[2]
Ho6GaAg2 | PBE-GGA | optimized geometry

```
18
Lattice="8.531 0.267 0.056 -2.985 7.996 -0.056 -2.913 -4.038 6.933" Properties=species:S:1:pos:R:3 pbc="T T T"
Ho 0.181 2.711 5.702
Ho 2.452 1.514 1.231
Ho -2.441 -1.195 5.702
Ho 5.073 5.420 1.231
Ho 2.992 3.985 3.849
Ho -0.359 0.241 3.085
Ho -3.327 2.233 6.545
Ho 5.960 1.993 0.388
Ho 3.041 0.661 4.681
Ho -0.409 3.565 2.252
Ho -2.444 4.931 4.625
Ho 5.077 -0.706 2.308
Ga -2.949 1.979 3.438
Ga 0.000 0.000 0.000
Ag 0.666 -0.447 5.993
Ag 1.966 4.673 0.940
Ag 3.627 -2.434 4.513
Ag 1.991 -1.336 2.477
```

Properties
The calculation puts the formation energy from the elements at -203 kJ/mol of formula units. As for the calculated total energy: -76.61 eV per cell.

[3]
BaTa2Bi2O9 | PBE-GGA | optimized geometry

```
14
Lattice="-10.148 -1.962 7.743 -12.437 -2.282 2.629 11.789 -0.639 -5.235" Properties=species:S:1:pos:R:3 pbc="T T T"
Bi -4.548 -0.855 2.089
Bi -18.037 -3.389 8.283
Ba 0.000 0.000 0.000
O -2.161 -1.806 -0.460
O -1.017 -1.646 2.097
O -8.636 -3.078 5.596
O -9.780 -3.237 3.039
O -4.826 -2.362 3.847
O -11.293 -2.122 5.186
O -7.603 -1.429 3.491
O -14.982 -2.815 6.880
O -5.970 -2.522 1.290
Ta -9.293 -1.746 4.268
Ta -13.292 -2.498 6.104
```

Properties
As for the energy relative to the elements, uncorrected: -2336.9 meV/atom. As for the calculated total energy: -110.73 eV per cell.

[4]
LaSm2Er4 | PBE-GGA | optimized geometry

```
14
Lattice="-4.599 4.939 2.196 -1.436 -0.124 -8.519 -2.906 -7.175 4.291" Properties=species:S:1:pos:R:3 pbc="T T T"
Er -4.804 -1.257 2.856
Er -5.476 -2.994 -0.360
Er -2.799 -0.635 0.047
Er -5.079 1.799 1.115
Er -3.172 -5.497 -1.443
Er -6.073 3.285 -4.269
Er -2.113 1.183 -2.694
Er -4.561 -4.394 4.688
Sm -5.586 0.314 -2.278
Sm -2.576 -3.729 1.696
Sm -4.352 3.668 -1.609
Sm -3.740 0.871 -5.400
La -3.290 -2.218 -3.322
La -6.869 -1.941 5.803
```

Properties
The calculation puts the formation energy from the elements at 29 kJ/mol of formula units. As for the calculated total energy: -64.64 eV per cell.

[5]
RbIO3 | PBE-GGA | optimized geometry

```
5
Lattice="7.114 -0.415 0.000 -3.425 6.053 0.000 -3.557 0.207 3.566" Properties=species:S:1:pos:R:3 pbc="T T T"
Rb 4.412 1.176 0.000
I 0.732 0.056 0.000
O 0.386 3.369 0.000
O -3.669 3.045 2.469
O -0.112 2.837 1.097
```

Properties
As for the energy relative to the elements, uncorrected: -389.9 meV/atom. As for the calculated total energy: -19.34 eV per cell.

[6]
Er4AuI5 | PBE-GGA | optimized geometry

```
10
Lattice="4.091 0.000 -0.891 -0.434 8.640 -1.991 0.007 0.174 9.873" Properties=species:S:1:pos:R:3 pbc="T T T"
Er 2.613 0.697 2.158
Er -0.086 1.823 -0.396
Er 1.052 8.117 4.832
Er 3.751 6.991 7.386
Au 2.045 0.000 -0.445
I 0.543 2.992 2.496
I 0.368 7.261 1.689
I 3.297 1.553 5.302
I 1.829 4.320 -1.441
I 3.121 5.822 4.495
```

Properties
As for the energy relative to the elements, uncorrected: -1070.0 meV/atom. As for the calculated total energy: -39.98 eV per cell.

What is the formula in the third record? BaTa2Bi2O9

Which value of calculated total energy does entry 1 give? -29.60 eV per cell